1.
The following is a PBE-GGA calculation of a geometry-optimized MoW2Br structure, from Alexandria.

Summary:
SG	No. 166
magnetization	0.000	μB per formula unit
raw formation energy	279	kJ/mol of formula units

Cell: 8.8532 8.8532 8.8532 Å, 19.65 19.65 19.65°
Positions (direct):
1 Mo 0.7500 0.7500 0.7500
2 W 0.0036 0.0036 0.0036
3 W 0.4964 0.4964 0.4964
4 Br 0.2500 0.2500 0.2500

***

2.
The following is a PBE-GGA calculation of a geometry-optimized KInAs3 structure, from Alexandria.

Summary:
SG	No. 221
DFT formation energy	1.30	eV per atom
magnetization	0.000	μB per formula unit

Cell: 5.5224 5.5224 5.5224 Å, 90.00 90.00 90.00°
Positions (direct):
1 K 0.0000 0.0000 0.0000
2 In 0.5000 0.5000 0.5000
3 As 0.0000 0.0000 0.5000
4 As 0.5000 0.0000 0.0000
5 As 0.0000 0.5000 0.0000

***

3.
The following is a PBE-GGA calculation of a geometry-optimized KGaAu structure, from Alexandria.

Summary:
SG	No. 198
DFT formation energy	-0.32	eV per atom
magnetization	0.000	μB per formula unit

Cell: 7.0812 7.0812 7.0812 Å, 90.00 90.00 90.00°
Positions (direct):
1 K 0.6355 0.3645 0.8645
2 K 0.1355 0.1355 0.1355
3 K 0.8645 0.6355 0.3645
4 K 0.3645 0.8645 0.6355
5 Ga 0.1521 0.3479 0.6521
6 Ga 0.8479 0.8479 0.8479
7 Ga 0.6521 0.1521 0.3479
8 Ga 0.3479 0.6521 0.1521
9 Au 0.4063 0.4063 0.4063
10 Au 0.5937 0.9063 0.0937
11 Au 0.0937 0.5937 0.9063
12 Au 0.9063 0.0937 0.5937

***

4.
The following is a PBE-GGA calculation of a geometry-optimized PrBeSi2Ru2 structure, from Alexandria.

Summary:
SG	No. 123
magnetization	0.000	μB per formula unit
raw formation energy	-340	kJ/mol of formula units

Cell: 4.2363 4.2363 5.3757 Å, 90.00 90.00 90.00°
Positions (direct):
1 Ru 0.5000 0.0000 0.0000
2 Ru 0.0000 0.5000 0.0000
3 Be 0.0000 0.0000 0.0000
4 Si 0.5000 0.5000 0.7406
5 Si 0.5000 0.5000 0.2594
6 Pr 0.0000 0.0000 0.5000

***

5.
The following is a PBE-GGA calculation of a geometry-optimized Ba2TcPt structure, from Alexandria.

Summary:
SG	No. 119
DFT formation energy	0.56	eV per atom
magnetization	2.977	μB per formula unit

Cell: 6.4550 6.4550 6.4550 Å, 138.50 138.50 60.13°
Each line ends with the local moment (μB).
Positions (direct):
1 Ba 0.2500 0.7500 0.5000  -0.05
2 Ba 0.0000 0.0000 0.0000  -0.01
3 Tc 0.7500 0.2500 0.5000  2.55
4 Pt 0.5000 0.5000 0.0000  0.15

***

6.
The following is a PBE-GGA calculation of a geometry-optimized SrLu2Se4 structure, from Alexandria.

Summary:
SG	No. 62
magnetization	0.000	μB per formula unit
raw formation energy	-1308	kJ/mol of formula units

Cell: 4.0854 12.5282 14.7862 Å, 90.00 90.00 90.00°
Positions (direct):
1 Se 0.7500 0.7956 0.1671
2 Se 0.2500 0.1272 0.5299
3 Se 0.2500 0.2044 0.8329
4 Se 0.2500 0.6272 0.9701
5 Se 0.7500 0.2956 0.3329
6 Se 0.2500 0.9097 0.9240
7 Se 0.7500 0.0903 0.0760
8 Se 0.7500 0.4717 0.7845
9 Se 0.2500 0.7044 0.6671
10 Se 0.7500 0.9717 0.7155
11 Se 0.7500 0.3728 0.0299
12 Se 0.2500 0.5283 0.2155
13 Se 0.2500 0.4097 0.5760
14 Se 0.7500 0.5903 0.4240
15 Se 0.2500 0.0283 0.2845
16 Se 0.7500 0.8728 0.4701
17 Lu 0.2500 0.4172 0.9025
18 Lu 0.2500 0.9399 0.1109
19 Lu 0.7500 0.0601 0.8891
20 Lu 0.2500 0.9172 0.5975
21 Lu 0.7500 0.5601 0.6109
22 Lu 0.2500 0.4399 0.3891
23 Lu 0.7500 0.5828 0.0975
24 Lu 0.7500 0.0828 0.4025
25 Sr 0.7500 0.7396 0.8335
26 Sr 0.7500 0.2396 0.6665
27 Sr 0.2500 0.7604 0.3335
28 Sr 0.2500 0.2604 0.1665

***

7.
The following is a PBE-GGA calculation of a geometry-optimized RbBiPb2 structure, from Alexandria.

Summary:
SG	No. 166
DFT formation energy	0.05	eV per atom
magnetization	0.000	μB per formula unit

Cell: 4.1952 4.1952 10.5761 Å, 78.56 78.56 60.00°
Positions (direct):
1 Rb 0.5000 0.5000 0.5000
2 Pb 0.7353 0.7353 0.7942
3 Pb 0.2647 0.2647 0.2058
4 Bi 0.0000 0.0000 0.0000

***

8.
The following is a PBE-GGA calculation of a geometry-optimized K2Bi4Pb5 structure, from Alexandria.

Summary:
SG	No. 69
DFT formation energy	-0.06	eV per atom
magnetization	0.000	μB per formula unit

Cell: 6.9072 6.7952 11.1108 Å, 80.91 71.89 59.45°
Positions (direct):
1 K 0.1170 0.0000 0.7661
2 K 0.8830 0.0000 0.2339
3 Bi 0.4976 0.7304 0.2744
4 Bi 0.2280 0.2696 0.2744
5 Bi 0.5024 0.2696 0.7256
6 Bi 0.7720 0.7304 0.7256
7 Pb 0.2500 0.5000 0.5000
8 Pb 0.7500 0.5000 0.5000
9 Pb 0.5000 0.5000 0.0000
10 Pb 0.0000 0.5000 0.0000
11 Pb 0.5000 0.0000 0.0000

***

Record-wise Fermi-level density of states values, in states/eV/atom: 1.10; 1.24; 0.33; 0.37; 1.06; 0.00; 0.70; 0.51